1:
# LiMoIO2, optimized geometry, DFT GGA+U
data_LiMoIO2
_cell_length_a 4.1109
_cell_length_b 4.1109
_cell_length_c 5.0881
_cell_angle_alpha 90.00
_cell_angle_beta 90.00
_cell_angle_gamma 90.00
_space_group_name_H-M_alt 'P 4/m m m'
_space_group_IT_number 123
_space_group_name_Hall '-P 4 2'
loop_
_atom_site_label
_atom_site_fract_x
_atom_site_fract_y
_atom_site_fract_z
Li1 0.0000 0.0000 0.0000
Mo1 0.5000 0.5000 0.5000
I1 0.0000 0.0000 0.5000
O1 0.0000 0.5000 0.0000
# * V: 86.0 Å³/cell

=====

2:
# LiMoIO2, optimized geometry, DFT GGA+U
data_LiMoIO2
_cell_length_a 3.9176
_cell_length_b 3.9176
_cell_length_c 7.2900
_cell_angle_alpha 90.00
_cell_angle_beta 90.00
_cell_angle_gamma 90.00
_space_group_name_H-M_alt 'P 4/m m m'
_space_group_IT_number 123
_space_group_name_Hall '-P 4 2'
loop_
_atom_site_label
_atom_site_fract_x
_atom_site_fract_y
_atom_site_fract_z
Li1 0.0000 0.0000 0.0000
Mo1 0.5000 0.5000 0.5000
I1 0.5000 0.5000 0.0000
O1 0.0000 0.5000 0.5000
# * V: 111.9 Å³/cell

=====

Name the most stable of them. 2.